Record 1
The following is a DFT calculation (GGA-PBE) of an optimized crystal structure of LiNb3Rh.

Excess energy over the best structure of this formula in the dataset (meV per atom): 46
Calculated formation energy (eV per atom): 1.0350
N(E_F) (states/eV/f.u.): 4.086
Symmetry: No. 221

a = 4.867 Å, b = 4.867 Å, c = 4.867 Å
α = 90.00°, β = 90.00°, γ = 90.00°
Atoms (fractional coordinates):
Nb 0.000 0.500 0.000
Nb 0.000 0.000 0.500
Nb 0.500 0.000 0.000
Rh 0.000 0.000 0.000
Li 0.500 0.500 0.500

Record 2
The following is a DFT calculation (GGA-PBE) of an optimized crystal structure of KGaSi.

E_form (uncorrected) (meV/atom): -13
N(E_F) (states/eV/f.u.): 0.000
Symmetry: No. 39

a = 4.175 Å, b = 6.935 Å, c = 6.935 Å
α = 63.54°, β = 90.00°, γ = 90.00°
Atoms (fractional coordinates):
K 0.500 0.351 0.649
K 0.500 0.851 0.149
Si 0.258 0.918 0.582
Si 0.742 0.418 0.082
Ga 0.765 0.753 0.747
Ga 0.235 0.253 0.247

Record 3
The following is a DFT calculation (GGA-PBE) of an optimized crystal structure of Ac3Ru.

Excess energy over the best structure of this formula in the dataset (meV per atom): 290
Calculated formation energy (eV per atom): 0.1572
N(E_F) (states/eV/f.u.): 4.091
Symmetry: No. 25

a = 3.943 Å, b = 3.754 Å, c = 10.217 Å
α = 90.00°, β = 90.00°, γ = 90.00°
Atoms (fractional coordinates):
Ru 0.000 0.000 0.971
Ac 0.000 0.500 0.469
Ac 0.500 0.500 0.120
Ac 0.500 0.000 0.773

Record 4
The following is a DFT calculation (GGA-PBE) of an optimized crystal structure of BePW.

Excess energy over the best structure of this formula in the dataset (meV per atom): 114
Calculated formation energy (eV per atom): -0.0826
N(E_F) (states/eV/f.u.): 0.954
Symmetry: No. 11

a = 4.730 Å, b = 6.784 Å, c = 6.784 Å
α = 56.36°, β = 63.38°, γ = 63.39°
Atoms (fractional coordinates):
W 0.214 0.662 0.912
W 0.786 0.838 0.588
W 0.786 0.338 0.088
W 0.214 0.162 0.412
P 0.217 0.461 0.711
P 0.217 0.961 0.211
P 0.783 0.539 0.289
P 0.783 0.039 0.789
Be 0.742 0.427 0.677
Be 0.742 0.927 0.177
Be 0.258 0.573 0.323
Be 0.258 0.073 0.823

Record 5
The following is a DFT calculation (GGA-PBE) of an optimized crystal structure of BaHg4W.

Calculated formation energy (eV per atom): 0.5963
N(E_F) (states/eV/f.u.): 4.027
Symmetry: No. 216

a = 6.054 Å, b = 6.054 Å, c = 6.054 Å
α = 60.00°, β = 60.00°, γ = 60.00°
Last column: magnetic moment on the atom in μB.
Atoms (fractional coordinates):
Ba 0.000 0.000 0.000  0.06
Hg 0.872 0.376 0.376  -0.01
Hg 0.376 0.376 0.872  -0.01
Hg 0.376 0.872 0.376  -0.01
Hg 0.376 0.376 0.376  -0.01
W 0.750 0.750 0.750  2.72

Record 6
The following is a DFT calculation (GGA-PBE) of an optimized crystal structure of Sr2CaUAs4.

Calculated formation energy (eV per atom): -1.0185
N(E_F) (states/eV/f.u.): 1.334
Symmetry: No. 10

a = 4.335 Å, b = 7.353 Å, c = 7.484 Å
α = 109.28°, β = 90.00°, γ = 90.00°
Last column: magnetic moment on the atom in μB.
Atoms (fractional coordinates):
Sr 0.500 0.000 0.500  0.00
Sr 0.000 0.500 0.500  0.01
Ca 0.500 0.500 0.000  0.00
U 0.000 0.000 0.000  -0.29
As 0.500 0.219 0.211  0.02
As 0.500 0.781 0.789  0.02
As 0.000 0.234 0.782  0.02
As 0.000 0.766 0.218  0.02

Record 7
The following is a DFT calculation (GGA-PBE) of an optimized crystal structure of AgSn2Sb2.

Excess energy over the best structure of this formula in the dataset (meV per atom): 130
E_form (uncorrected) (meV/atom): 184
N(E_F) (states/eV/f.u.): 2.335
Symmetry: No. 127

a = 8.178 Å, b = 8.178 Å, c = 4.138 Å
α = 90.00°, β = 90.00°, γ = 90.00°
Atoms (fractional coordinates):
Sb 0.336 0.836 0.000
Sb 0.836 0.664 0.000
Sb 0.664 0.164 0.000
Sb 0.164 0.336 0.000
Sn 0.145 0.645 0.500
Sn 0.645 0.855 0.500
Sn 0.855 0.355 0.500
Sn 0.355 0.145 0.500
Ag 0.000 0.000 0.000
Ag 0.500 0.500 0.000

Record 8
The following is a DFT calculation (GGA-PBE) of an optimized crystal structure of Sc2Pd2N.

Excess energy over the best structure of this formula in the dataset (meV per atom): 108
E_form (uncorrected) (meV/atom): 108
N(E_F) (states/eV/f.u.): 4.397
Symmetry: No. 139

a = 5.180 Å, b = 5.180 Å, c = 4.967 Å
α = 58.57°, β = 58.57°, γ = 90.00°
Last column: magnetic moment on the atom in μB.
Atoms (fractional coordinates):
Sc 0.750 0.250 0.500  0.22
Sc 0.250 0.750 0.500  0.22
Pd 0.310 0.310 0.380  0.00
Pd 0.690 0.690 0.620  0.00
N 0.000 0.000 0.000  -0.01